Entry 1
This record from Alexandria via LeMat-Bulk describes a geometry-optimized Li2CoOF3 structure. The functional is PBEsol.

Calculated values
Space group: Cc
Crystal system: monoclinic
Size of the total moment, μB/atom: 0.437

Cell: 5.236 5.236 5.671 Å, 90.57 90.57 61.72°
Fractional positions:
F 0.661 0.500 0.928
O 0.178 0.061 0.790
F 0.500 0.661 0.428
F 0.087 0.592 0.608
O 0.061 0.178 0.290
Li 0.678 0.729 0.687
Li 0.729 0.678 0.187
Li 0.357 0.372 0.859
F 0.100 0.653 0.105
Co 0.949 0.083 0.023
F 0.653 0.100 0.605
F 0.592 0.087 0.108
Co 0.083 0.949 0.523
Li 0.372 0.357 0.359

---

Entry 2
This record from Alexandria via LeMat-Bulk describes a geometry-optimized Li2CoOF3 structure. The functional is PBEsol.

Calculated values
Space group: P4_1
Crystal system: tetragonal
Size of the total moment, μB/atom: 0.286

Cell: 5.835 5.835 8.024 Å, 90.00 90.00 90.00°
Fractional positions:
Co 0.741 0.498 0.753
Co 0.259 0.502 0.253
F 0.499 0.213 0.263
Co 0.498 0.259 0.503
F 0.736 0.031 0.509
Co 0.502 0.741 0.003
F 0.787 0.499 0.513
Li 0.761 0.256 0.124
Li 0.010 0.236 0.506
F 0.031 0.264 0.259
Li 0.239 0.744 0.624
F 0.992 0.250 0.747
Li 0.764 0.010 0.756
O 0.518 0.299 0.723
F 0.969 0.736 0.759
F 0.264 0.969 0.009
O 0.701 0.518 0.973
F 0.213 0.501 0.013
O 0.299 0.482 0.473
Li 0.744 0.761 0.374
F 0.501 0.787 0.763
Li 0.990 0.764 0.006
Li 0.256 0.239 0.874
F 0.008 0.750 0.247
F 0.750 0.992 0.997
O 0.482 0.701 0.223
F 0.250 0.008 0.497
Li 0.236 0.990 0.256

---

It turns out entry 2 is the most stable, with the second structure 79 meV per atom higher.